# 1
VASP calculation (PBE) on crystalline AuC2 at its relaxed geometry.

Computed properties:
Its symmetry is Cmcm (63). The calculated formation energy is 2.187 eV/f.u.

a b c (Å): 11.825 11.825 4.967
angles (deg): 90.00 90.00 167.45
Element x y z (fractional)
Au1 0.250 0.750 0.750
Au2 0.750 0.250 0.250
C1 0.074 0.926 0.750
C2 0.426 0.574 0.250
C3 0.574 0.426 0.750
C4 0.926 0.074 0.250



# 2
VASP calculation (PBE) on crystalline NaIN2Cl at its relaxed geometry.

Computed properties:
Its symmetry is P4/mmm (123). The calculation puts the uncorrected formation energy at 1.49 eV/atom.

a b c (Å): 4.336 4.336 8.691
angles (deg): 90.00 90.00 90.00
Element x y z (fractional)
Na1 0.000 0.000 0.000
I1 0.500 0.500 0.000
N1 0.000 0.500 0.500
N2 0.500 0.000 0.500
Cl1 0.500 0.500 0.500



Here are the calculated offset from the most stable computed form numbers, same order: 463; 0 (meV/atom).